A relaxed Ba2SrCdN crystal, computed with GGA-PBE.

* energy relative to the elements, uncorrected: -0.3061 eV/atom
* M_tot: 0.32 μB per formula unit
* space-group type: P4/mmm
* VASP energy: -16.3 eV per cell

POSCAR file:
```
Ba2SrCdN
1.0
-5.352 0.273 1.999
-0.980 -5.305 -1.901
1.618 -1.947 4.599
Sr N Ba Cd
1 1 2 1
Direct
0.000 0.000 0.500 Sr
0.000 0.000 0.000 N
0.000 0.500 0.000 Ba
0.500 0.000 0.000 Ba
0.500 0.500 0.500 Cd
```

A relaxed Ba2CdTcN crystal, computed with GGA-PBE.

* energy relative to the elements, uncorrected: -0.1798 eV/atom
* M_tot: 0.02 μB per formula unit
* space-group type: P4/mmm
* VASP energy: -24.4 eV per cell

POSCAR file:
```
Ba2CdTcN
1.0
5.899 0.000 0.000
0.000 5.899 0.000
0.000 0.000 3.911
Tc N Ba Cd
1 1 2 1
Direct
0.000 0.000 0.500 Tc
0.000 0.000 0.000 N
0.000 0.500 0.000 Ba
0.500 0.000 0.000 Ba
0.500 0.500 0.500 Cd
```

A relaxed Ba6Tl2CdN crystal, computed with GGA-PBE.

* energy relative to the elements, uncorrected: -0.2889 eV/atom
* M_tot: 0.00 μB per formula unit
* space-group type: P2_1/c
* VASP energy: -56.8 eV per cell

POSCAR file:
```
Ba6Tl2CdN
1.0
8.014 0.000 0.325
0.000 9.144 0.000
0.543 0.000 11.647
Ba Tl Cd N
12 4 2 2
Direct
0.297 0.650 0.052 Ba
0.797 0.850 0.552 Ba
0.703 0.350 0.948 Ba
0.203 0.150 0.448 Ba
0.365 0.720 0.442 Ba
0.865 0.780 0.942 Ba
0.635 0.280 0.558 Ba
0.135 0.220 0.058 Ba
0.878 0.537 0.222 Ba
0.378 0.963 0.722 Ba
0.122 0.463 0.778 Ba
0.622 0.037 0.278 Ba
0.050 0.898 0.246 Tl
0.550 0.602 0.746 Tl
0.950 0.102 0.754 Tl
0.450 0.398 0.254 Tl
0.500 0.000 0.000 Cd
0.000 0.500 0.500 Cd
0.500 0.000 0.500 N
0.000 0.500 0.000 N
```

A relaxed BaCd2WN crystal, computed with GGA-PBE.

* energy relative to the elements, uncorrected: 2.6555 eV/atom
* M_tot: 2.70 μB per formula unit
* space-group type: P4/mmm
* VASP energy: -11.8 eV per cell

POSCAR file:
```
BaCd2WN
1.0
-5.312 -4.546 1.629
4.353 -4.957 0.363
0.973 1.365 6.980
N Ba W Cd
1 1 1 2
Direct
0.500 0.500 0.500 N
0.000 0.000 0.000 Ba
0.000 0.500 0.000 W
0.000 0.000 0.500 Cd
0.500 0.000 0.000 Cd
```